[1]
4
Lattice="-2.742 1.748 -4.013 -3.222 -2.182 3.396 -0.357 2.788 1.456" Properties=species:S:1:pos:R:3 comment="Mg2BeSb | Alexandria via LeMat-Bulk | GGA-PBE | relaxed" crystal_system=orthorhombic e_form_raw_ev_per_atom=0.23 pbc="T T T"
Be -1.790 0.303 2.426
Mg 0.000 0.000 0.000
Mg -2.982 -0.217 -0.309
Sb -1.550 2.268 -1.279

***

[2]
5
Lattice="5.822 0.000 0.000 0.000 5.317 0.000 0.000 0.000 5.822" Properties=species:S:1:pos:R:3 comment="Mg2ScBeSb | Alexandria via LeMat-Bulk | GGA-PBE | relaxed" crystal_system=tetragonal e_form_raw_ev_per_atom=1.03 pbc="T T T"
Sb 0.000 2.659 0.000
Be 2.911 2.659 2.911
Mg 2.911 0.000 0.000
Mg 0.000 0.000 2.911
Sc 0.000 0.000 0.000

***

[3]
5
Lattice="5.356 0.000 0.000 0.000 5.356 0.000 0.000 0.000 5.420" Properties=species:S:1:pos:R:3 comment="MgBeSb2Te | Alexandria via LeMat-Bulk | GGA-PBE | relaxed" crystal_system=tetragonal e_form_raw_ev_per_atom=1.00 pbc="T T T"
Sb 0.000 2.678 0.000
Sb 2.678 0.000 0.000
Be 2.678 2.678 2.710
Te 0.000 0.000 2.710
Mg 0.000 0.000 0.000

***

[4]
5
Lattice="-1.290 4.061 -2.213 -4.500 -0.574 1.571 1.230 2.885 4.577" Properties=species:S:1:pos:R:3 comment="MgBeSb2Te | Alexandria via LeMat-Bulk | GGA-PBE | relaxed" crystal_system=tetragonal e_form_raw_ev_per_atom=0.35 pbc="T T T"
Te 0.615 1.443 2.289
Be 0.000 0.000 0.000
Sb -2.250 -0.287 0.785
Sb -0.645 2.030 -1.106
Mg -2.280 3.186 1.968

***

[5]
5
Lattice="4.721 0.000 0.000 0.000 4.721 0.000 0.000 0.000 4.721" Properties=species:S:1:pos:R:3 comment="Mg3ScBe | Alexandria via LeMat-Bulk | GGA-PBE | relaxed" final_energy_ev_per_atom=-2.69 crystal_system=cubic pbc="T T T"
Be 0.000 0.000 0.000
Mg 2.360 0.000 0.000
Mg 0.000 0.000 2.360
Mg 0.000 2.360 0.000
Sc 2.360 2.360 2.360

***

[6]
4
Lattice="5.185 0.083 0.000 -1.847 4.845 0.000 0.000 0.000 3.185" Properties=species:S:1:pos:R:3 comment="Mg2ScBe | Alexandria via LeMat-Bulk | GGA-PBE | relaxed" final_energy_ev_per_atom=-2.98 crystal_system=orthorhombic pbc="T T T"
Mg 1.669 2.464 0.000
Mg 0.000 0.000 0.000
Be -0.923 2.423 1.592
Sc 2.592 0.042 1.592

***

[7]
4
Lattice="-3.063 -2.248 3.986 -3.667 -3.971 1.050 1.747 -4.066 2.028" Properties=species:S:1:pos:R:3 comment="Mg2ScBe | Alexandria via LeMat-Bulk | GGA-PBE | relaxed" final_energy_ev_per_atom=-3.11 crystal_system=monoclinic pbc="T T T"
Mg -6.428 -6.139 4.927
Mg -3.717 -7.705 5.289
Be -1.288 -2.590 1.786
Sc -2.773 -5.212 3.631

***

[8]
8
Lattice="4.003 0.000 0.000 0.000 4.003 0.000 2.002 2.002 10.285" Properties=species:S:1:pos:R:3 comment="Mg2ScBe | Alexandria via LeMat-Bulk | GGA-PBE | relaxed" final_energy_ev_per_atom=-2.87 crystal_system=tetragonal pbc="T T T"
Mg 5.004 4.940 7.714
Mg 1.064 3.002 2.571
Mg 2.939 1.001 2.571
Mg 3.002 3.066 7.714
Be 2.002 4.003 5.143
Be 2.002 2.002 0.000
Sc 4.003 2.002 5.143
Sc 0.000 0.000 0.000

***

[9]
4
Lattice="-0.271 2.130 -2.194 -2.402 1.215 1.477 4.999 4.876 4.117" Properties=species:S:1:pos:R:3 comment="Mg2ScBe | Alexandria via LeMat-Bulk | GGA-PBE | relaxed" final_energy_ev_per_atom=-3.26 crystal_system=tetragonal pbc="T T T"
Sc 2.752 2.685 2.267
Be 2.430 5.347 2.744
Mg -0.110 2.869 0.651
Mg 4.752 4.635 3.914

***

[10]
10
Lattice="-4.069 -4.557 -3.555 4.898 -0.411 -5.080 1.519 -2.667 1.680" Properties=species:S:1:pos:R:3 comment="MgSc2Be2 | Alexandria via LeMat-Bulk | GGA-PBE | relaxed" final_energy_ev_per_atom=-4.35 crystal_system=tetragonal pbc="T T T"
Sc -1.001 -5.255 -3.793
Sc 3.349 -2.380 -3.162
Sc 2.105 -4.725 -5.759
Sc 0.243 -2.910 -1.196
Mg 0.000 0.000 0.000
Mg 0.415 -2.484 -4.318
Be -1.938 -2.856 -2.781
Be -0.578 -4.281 -6.272
Be 2.767 -2.112 -5.854
Be 1.407 -0.687 -2.363

***

[11]
3
Lattice="4.499 0.000 0.000 -2.250 3.896 0.000 0.000 0.000 3.145" Properties=species:S:1:pos:R:3 comment="MgScBe | Alexandria via LeMat-Bulk | GGA-PBE | relaxed" final_energy_ev_per_atom=-3.72 crystal_system=trigonal pbc="T T T"
Mg 2.250 1.299 0.517
Be 0.000 0.000 0.533
Sc 0.000 2.598 2.095

***

[12]
4
Lattice="-4.589 0.617 0.063 -0.353 -2.427 -1.952 -0.505 -4.117 3.528" Properties=species:S:1:pos:R:3 comment="Mg2ScBe | Alexandria via LeMat-Bulk | GGA-PBE | relaxed" final_energy_ev_per_atom=-3.11 crystal_system=monoclinic pbc="T T T"
Mg -0.814 -6.222 1.698
Mg -0.474 -3.594 0.667
Sc -2.509 -1.327 0.426
Be -2.938 -4.599 1.214

***

What did we get for size of the total moment? Answer: 0.00 0.00 0.00 0.00 0.00 0.00 0.00 0.00 0.25 0.00 0.00 0.00 μB/f.u., in the order shown.